i | DFT (SCAN) results for Cd2TcIr at its PBEsol-relaxed geometry.

```
data_Cd2TcIr
_space_group_name_H-M_alt 'P 1'
_space_group_IT_number 1
_space_group_name_Hall 'P 1'
_cell_length_a 2.819
_cell_length_b 4.765
_cell_length_c 5.154
_cell_angle_alpha 98.06
_cell_angle_beta 90.00
_cell_angle_gamma 107.21
loop_
_atom_site_label
_atom_site_type_symbol
_atom_site_fract_x
_atom_site_fract_y
_atom_site_fract_z
_atom_site_occupancy
Cd1 Cd 0.003 0.006 0.992 1
Cd2 Cd 0.246 0.493 0.759 1
Ir1 Ir 0.494 0.988 0.462 1
Tc1 Tc 0.757 0.513 0.287 1
```

**D(E_F)**: 2.53 states/eV/f.u.
**Calculated volume**: 16.36 Å³ per atom
**Total magnetization**: 0.00 μB/f.u.
**Density**: 13.07 g/cm3

---

ii | DFT (SCAN) results for Cd2TcIr at its PBEsol-relaxed geometry.

```
data_Cd2TcIr
_space_group_name_H-M_alt 'P 1'
_space_group_IT_number 1
_space_group_name_Hall 'P 1'
_cell_length_a 3.963
_cell_length_b 3.963
_cell_length_c 5.062
_cell_angle_alpha 113.05
_cell_angle_beta 113.05
_cell_angle_gamma 90.00
loop_
_atom_site_label
_atom_site_type_symbol
_atom_site_fract_x
_atom_site_fract_y
_atom_site_fract_z
_atom_site_occupancy
Cd1 Cd 0.750 0.250 0.500 1
Cd2 Cd 0.250 0.750 0.500 1
Ir1 Ir 0.500 0.500 0.000 1
Tc1 Tc 0.000 0.000 0.000 1
```

**D(E_F)**: 2.91 states/eV/f.u.
**Calculated volume**: 16.55 Å³ per atom
**Total magnetization**: 3.07 μB/f.u.
**Density**: 12.92 g/cm3

---

The winner here is i, beating the second structure by 158 meV/atom.

---

i | DFT (SCAN) results for CdTeIr2 at its PBEsol-relaxed geometry.

```
data_CdTeIr2
_space_group_name_H-M_alt 'P 1'
_space_group_IT_number 1
_space_group_name_Hall 'P 1'
_cell_length_a 3.039
_cell_length_b 4.760
_cell_length_c 4.868
_cell_angle_alpha 90.00
_cell_angle_beta 90.00
_cell_angle_gamma 90.00
loop_
_atom_site_label
_atom_site_type_symbol
_atom_site_fract_x
_atom_site_fract_y
_atom_site_fract_z
_atom_site_occupancy
Ir1 Ir 0.500 0.000 0.951 1
Ir2 Ir 0.000 0.500 0.777 1
Te1 Te 0.000 0.000 0.514 1
Cd1 Cd 0.500 0.500 0.258 1
```

**D(E_F)**: 2.10 states/eV/f.u.
**Calculated volume**: 17.61 Å³ per atom
**Total magnetization**: 0.00 μB/f.u.
**Density**: 14.72 g/cm3

---

ii | DFT (SCAN) results for CdTeIr2 at its PBEsol-relaxed geometry.

```
data_CdTeIr2
_space_group_name_H-M_alt 'P 1'
_space_group_IT_number 1
_space_group_name_Hall 'P 1'
_cell_length_a 4.594
_cell_length_b 4.594
_cell_length_c 4.594
_cell_angle_alpha 60.00
_cell_angle_beta 60.00
_cell_angle_gamma 60.00
loop_
_atom_site_label
_atom_site_type_symbol
_atom_site_fract_x
_atom_site_fract_y
_atom_site_fract_z
_atom_site_occupancy
Ir1 Ir 0.750 0.750 0.750 1
Ir2 Ir 0.250 0.250 0.250 1
Te1 Te 0.500 0.500 0.500 1
Cd1 Cd 0.000 0.000 0.000 1
```

**D(E_F)**: 1.94 states/eV/f.u.
**Calculated volume**: 17.14 Å³ per atom
**Total magnetization**: 1.10 μB/f.u.
**Density**: 15.13 g/cm3

---

The winner here is i, beating the second structure by 84 meV/atom.

---

i | DFT (SCAN) results for TlCd2Ir at its PBEsol-relaxed geometry.

```
data_TlCd2Ir
_space_group_name_H-M_alt 'P 1'
_space_group_IT_number 1
_space_group_name_Hall 'P 1'
_cell_length_a 4.037
_cell_length_b 4.074
_cell_length_c 5.344
_cell_angle_alpha 112.41
_cell_angle_beta 112.19
_cell_angle_gamma 90.00
loop_
_atom_site_label
_atom_site_type_symbol
_atom_site_fract_x
_atom_site_fract_y
_atom_site_fract_z
_atom_site_occupancy
Tl1 Tl 0.000 0.500 0.000 1
Ir1 Ir 0.500 0.000 0.000 1
Cd1 Cd 0.751 0.751 0.502 1
Cd2 Cd 0.249 0.249 0.498 1
```

**D(E_F)**: 1.12 states/eV/f.u.
**Calculated volume**: 18.54 Å³ per atom
**Total magnetization**: 0.00 μB/f.u.
**Density**: 13.91 g/cm3

---

ii | DFT (SCAN) results for TlCd2Ir at its PBEsol-relaxed geometry.

```
data_TlCd2Ir
_space_group_name_H-M_alt 'P 1'
_space_group_IT_number 1
_space_group_name_Hall 'P 1'
_cell_length_a 3.113
_cell_length_b 4.666
_cell_length_c 5.221
_cell_angle_alpha 90.00
_cell_angle_beta 90.07
_cell_angle_gamma 90.00
loop_
_atom_site_label
_atom_site_type_symbol
_atom_site_fract_x
_atom_site_fract_y
_atom_site_fract_z
_atom_site_occupancy
Tl1 Tl 0.375 0.500 0.772 1
Ir1 Ir 0.375 0.000 0.453 1
Cd1 Cd 0.875 0.000 0.974 1
Cd2 Cd 0.874 0.500 0.300 1
```

**D(E_F)**: 1.49 states/eV/f.u.
**Calculated volume**: 18.96 Å³ per atom
**Total magnetization**: 0.00 μB/f.u.
**Density**: 13.61 g/cm3

---

The winner here is i, beating the second structure by 54 meV/atom.